Entry 1:
Density functional theory data (PBE) for an optimized crystal structure of ZnCl2.

abc: 6.7021 6.7021 5.8148
angles: 90.00 90.00 120.00
Space group P-62m (No. 189)
Asymmetric unit:
Zn (0.0000, 0.0000, 0.0000) [1 per cell]
Zn (0.3333, 0.6667, 0.5000) [2 per cell]
Cl (0.0000, 0.3282, 0.5000) [3 per cell]
Cl (0.0000, 0.6697, 0.0000) [3 per cell]

Properties
* VASP energy: -23.3 eV for the cell shown

Entry 2:
Density functional theory data (PBE) for an optimized crystal structure of CaAlSiOs.

abc: 4.2266 4.2266 16.1422
angles: 90.00 90.00 120.00
Space group R3m (No. 160, hexagonal axes)
Asymmetric unit:
Ca (0.0000, 0.0000, 0.0000) [3 per cell]
Al (0.0000, 0.0000, 0.4622) [3 per cell]
Si (0.0000, 0.0000, 0.1913) [3 per cell]
Os (0.0000, 0.0000, 0.8185) [3 per cell]

Properties
* VASP energy: -70.8 eV for the cell shown

Entry 3:
Density functional theory data (PBE) for an optimized crystal structure of Pr2ZrS4.

abc: 7.0577 6.5940 7.8497
angles: 90.00 105.90 90.00
Space group P2_1/m (No. 11)
Asymmetric unit:
Pr (0.2096, 0.2500, 0.0573) [2 per cell]
Pr (0.2231, 0.2500, 0.5535) [2 per cell]
Zr (0.2692, 0.7500, 0.8185) [2 per cell]
S (0.0030, 0.5047, 0.2543) [4 per cell]
S (0.4674, 0.7500, 0.6131) [2 per cell]
S (0.4762, 0.7500, 0.1217) [2 per cell]

Properties
* VASP energy: -92.2 eV for the cell shown

Entry 4:
Density functional theory data (PBE) for an optimized crystal structure of TbPmHoIn.

abc: 7.7555 7.7555 7.7555
angles: 90.00 90.00 90.00
Space group F-43m (No. 216)
Asymmetric unit:
Tb (0.0000, 0.0000, 0.0000) [4 per cell]
Pm (0.2500, 0.2500, 0.2500) [4 per cell]
Ho (0.0000, 0.0000, 0.5000) [4 per cell]
In (0.2500, 0.2500, 0.7500) [4 per cell]

Properties
* excess energy over the best structure of this formula in the dataset: 0.0407 eV per atom
* VASP energy: -68.4 eV for the cell shown
* ΔH_f (0 K): -0.10 eV per atom